[1]
VASP calculation (SCAN) on a PBEsol-optimized structure of Ca3AlH.

The magnetization comes out at 0.0 Bohr magnetons per cell. The electronic total energy comes out at -41.43 eV/cell.

The structure in POSCAR format:
```
Ca3AlH
1.0
4.877 0.000 0.000
0.000 4.877 0.000
0.000 0.000 4.877
Ca Al H
3 1 1
direct
0.000 0.000 0.500
0.000 0.500 0.000
0.500 0.000 0.000
0.500 0.500 0.500
0.000 0.000 0.000
```

[2]
VASP calculation (SCAN) on a PBEsol-optimized structure of Zr6BCl14.

The uncorrected formation energy comes out at -1.974 eV per atom. The magnetization comes out at 2.2 Bohr magnetons per cell. The electronic total energy comes out at -689.53 eV/cell.

The structure in POSCAR format:
```
Zr6BCl14
1.0
7.079 -6.310 0.000
7.079 6.310 0.000
0.000 0.000 11.500
Zr B Cl
12 2 28
direct
0.047 0.190 0.882
0.151 0.849 0.890
0.190 0.047 0.118
0.310 0.453 0.618
0.349 0.651 0.390
0.453 0.310 0.382
0.547 0.690 0.618
0.651 0.349 0.610
0.690 0.547 0.382
0.810 0.953 0.882
0.849 0.151 0.110
0.953 0.810 0.118
0.000 0.000 0.000
0.500 0.500 0.500
0.036 0.211 0.250
0.098 0.402 0.750
0.120 0.632 0.008
0.132 0.620 0.508
0.159 0.841 0.261
0.211 0.036 0.750
0.249 0.249 0.500
0.251 0.251 0.000
0.289 0.464 0.250
0.341 0.659 0.761
0.368 0.880 0.008
0.380 0.868 0.508
0.402 0.098 0.250
0.464 0.289 0.750
0.536 0.711 0.250
0.598 0.902 0.750
0.620 0.132 0.492
0.632 0.120 0.992
0.659 0.341 0.239
0.711 0.536 0.750
0.749 0.749 0.000
0.751 0.751 0.500
0.789 0.964 0.250
0.841 0.159 0.739
0.868 0.380 0.492
0.880 0.368 0.992
0.902 0.598 0.250
0.964 0.789 0.750
```

[3]
VASP calculation (SCAN) on a PBEsol-optimized structure of KPbN2O.

The uncorrected formation energy comes out at 0.711 eV per atom. The magnetization comes out at 3.1 Bohr magnetons per cell. The electronic total energy comes out at -105.37 eV/cell.

The structure in POSCAR format:
```
KPbN2O
1.0
4.488 0.000 0.000
0.000 4.488 0.000
0.000 0.000 4.349
K Pb N O
1 1 2 1
direct
0.000 0.000 0.000
0.500 0.500 0.500
0.000 0.500 0.500
0.500 0.000 0.500
0.500 0.500 0.000
```

[4]
VASP calculation (SCAN) on a PBEsol-optimized structure of ZrOs2Br.

The uncorrected formation energy comes out at 0.826 eV per atom. The magnetization comes out at 0.0 Bohr magnetons per cell. The electronic total energy comes out at -190.61 eV/cell. The calculation puts the energy above the most stable polymorph in this dataset at 0.5387 eV per atom.

The structure in POSCAR format:
```
ZrOs2Br
1.0
3.012 -3.511 0.000
3.012 3.511 0.000
0.000 0.000 3.127
Zr Os Br
1 2 1
direct
0.000 0.000 0.000
0.000 0.500 0.500
0.500 0.000 0.500
0.500 0.500 0.000
```